Entry from Alexandria: a crystal of Sc2BPd relaxed with PBEsol (SCAN).

Computed properties:
**Total moment**: 0.23 μB/atom
**Calculated volume**: 18.71 Å³ per atom
**Space group**: No. 166
**E_form**: 0.605 eV/atom
**D(E_F)**: 3.43 states/eV/f.u.

Cell lengths 3.1147, 3.1147, 26.7214 Å; angles 90.00, 90.00, 120.00 degrees
Atoms (fractional coordinates):
1 Sc 0.0000 0.0000 0.0889
2 Sc 0.0000 0.0000 0.9111
3 Sc 0.3333 0.6667 0.5778
4 Sc 0.3333 0.6667 0.7555
5 Sc 0.6667 0.3333 0.2445
6 Sc 0.6667 0.3333 0.4222
7 B 0.0000 0.0000 0.0000
8 B 0.3333 0.6667 0.6667
9 B 0.6667 0.3333 0.3333
10 Pd 0.0000 0.0000 0.5000
11 Pd 0.3333 0.6667 0.1667
12 Pd 0.6667 0.3333 0.8333